No. 1
Density functional theory data (PBE) for crystalline CaCl3 at its relaxed geometry.

Geometry as POSCAR:
```
CaCl3
1.0
10.009 0.080 0.048
9.158 4.041 0.048
9.158 1.969 3.529
Ca Cl
1 3
Cartesian
0.000 0.000 0.000
14.162 3.045 1.812
8.045 1.730 1.029
20.280 4.360 2.595
```

Computed properties:
For the formation energy (no corrections), the calculation gives -1.459 eV/atom.

---

No. 2
Density functional theory data (PBE) for crystalline CaCl3 at its relaxed geometry.

Geometry as POSCAR:
```
CaCl3
1.0
3.869 0.000 0.000
-1.935 3.351 0.000
0.000 0.000 10.195
Cl Ca
3 1
Cartesian
1.935 1.117 8.568
0.000 0.000 5.098
1.935 1.117 1.627
0.000 0.000 0.000
```

Computed properties:
For the formation energy (no corrections), the calculation gives -1.361 eV/atom.

---

No. 3
Density functional theory data (PBE) for crystalline CaCl3 at its relaxed geometry.

Geometry as POSCAR:
```
CaCl3
1.0
5.162 0.050 0.094
-1.811 4.835 0.094
-1.811 -2.639 4.052
Cl Ca
3 1
Cartesian
1.676 2.442 0.094
-1.811 1.098 2.073
1.676 -1.294 2.073
0.000 0.000 0.000
```

Computed properties:
For the formation energy (no corrections), the calculation gives -1.293 eV/atom.

---

No. 4
Density functional theory data (PBE) for crystalline Ca2Cl at its relaxed geometry.

Geometry as POSCAR:
```
Ca2Cl
1.0
-3.609 -0.156 -1.451
2.223 -3.196 0.037
-2.523 -1.680 6.458
Ca Cl
2 1
Cartesian
-2.397 -1.657 0.918
-1.513 -3.375 4.126
0.000 0.000 0.000
```

Computed properties:
Its energy above the most stable polymorph in this dataset is 0 meV/atom. For the formation energy (no corrections), the calculation gives -1.045 eV/atom.

---

No. 5
Density functional theory data (PBE) for crystalline CaCl at its relaxed geometry.

Geometry as POSCAR:
```
CaCl
1.0
11.411 0.000 0.000
0.000 11.411 0.000
0.000 0.000 4.088
Cl Ca
8 8
Cartesian
9.934 2.390 0.000
2.390 1.476 0.000
6.912 3.097 2.044
8.314 6.912 2.044
3.097 4.499 2.044
9.021 9.934 0.000
1.476 9.021 0.000
4.499 8.314 2.044
1.048 4.057 0.000
2.030 7.081 2.044
10.363 7.354 0.000
4.057 10.363 0.000
9.381 4.329 2.044
4.329 2.030 2.044
7.354 1.048 0.000
7.081 9.381 2.044
```

Computed properties:
For the formation energy (no corrections), the calculation gives -1.595 eV/atom.

---

No. 6
Density functional theory data (PBE) for crystalline CaCl5 at its relaxed geometry.

Geometry as POSCAR:
```
CaCl5
1.0
-3.196 0.495 -2.657
-1.402 -0.895 4.815
1.120 10.333 -2.988
Cl Ca
5 1
Cartesian
-1.409 9.850 -1.144
-2.734 2.208 -0.695
-2.610 4.847 -3.492
-0.918 6.037 0.208
-0.201 8.049 -3.006
-1.371 0.745 3.978
```

Computed properties:
Its energy above the most stable polymorph in this dataset is 10 meV/atom. For the formation energy (no corrections), the calculation gives -1.034 eV/atom.

---

No. 7
Density functional theory data (PBE) for crystalline CaCl at its relaxed geometry.

Geometry as POSCAR:
```
CaCl
1.0
-4.146 -5.490 -4.043
2.475 -5.621 5.095
-3.481 0.763 2.533
Ca Cl
4 4
Cartesian
-0.493 -3.278 0.310
-0.623 -5.212 4.489
-1.178 -7.833 0.741
-4.530 -5.135 -0.904
-3.172 -9.134 2.167
0.115 -5.574 1.838
-1.786 -5.537 -0.786
-1.981 -1.214 1.418
```

Computed properties:
For the formation energy (no corrections), the calculation gives -1.394 eV/atom.

---

No. 8
Density functional theory data (PBE) for crystalline CaCl at its relaxed geometry.

Geometry as POSCAR:
```
CaCl
1.0
5.549 0.000 0.000
2.774 4.805 0.000
2.774 1.602 4.531
Ca Cl
2 2
Cartesian
0.000 0.000 0.000
2.774 1.602 1.133
8.323 4.805 3.398
5.549 3.204 2.265
```

Computed properties:
For the formation energy (no corrections), the calculation gives -0.728 eV/atom.